1.
Compound: Be2HRu
Source: Alexandria via LeMat-Bulk
Functional: PBE
Structure: relaxed

Lattice parameters (Å, degrees): 4.506 4.506 4.506 120.22 120.22 89.62
Fractional coordinates of all 8 atoms:
Be (0.000, 0.000, 0.000)
Be (0.000, 0.000, 0.500)
Be (0.000, 0.500, 0.000)
Be (0.500, 0.000, 0.500)
H (0.125, 0.875, 0.250)
H (0.875, 0.125, 0.750)
Ru (0.375, 0.625, 0.750)
Ru (0.625, 0.375, 0.250)

Values from the calculation:
**Offset from the most stable computed form**: 0 meV/atom
**Total magnetization**: 0.000 μB/f.u.
**Symmetry**: No. 141

2.
Compound: Sm3Cd2Co2
Source: Alexandria via LeMat-Bulk
Functional: PBE
Structure: relaxed

Lattice parameters (Å, degrees): 11.075 11.075 3.935 90.00 90.00 159.96
Fractional coordinates of all 7 atoms:
Sm (0.000, 0.000, 0.000)
Sm (0.176, 0.824, 0.000)
Sm (0.824, 0.176, 0.000)
Cd (0.412, 0.588, 0.500)
Cd (0.588, 0.412, 0.500)
Co (0.275, 0.725, 0.500)
Co (0.725, 0.275, 0.500)

Values from the calculation:
**Energy relative to the elements**: -0.24 eV per atom
**Total magnetization**: 1.579 μB/f.u.
**Symmetry**: No. 65

3.
Compound: AlCo3
Source: Alexandria via LeMat-Bulk
Functional: PBE
Structure: relaxed

Lattice parameters (Å, degrees): 8.119 8.119 8.119 18.34 18.34 18.34
Fractional coordinates of all 4 atoms:
Al (0.000, 0.000, 0.000)
Co (0.249, 0.249, 0.249)
Co (0.500, 0.500, 0.500)
Co (0.751, 0.751, 0.751)

Values from the calculation:
**Energy relative to the elements**: -0.06 eV per atom
**Total magnetization**: 3.957 μB/f.u.
**Symmetry**: No. 166

4.
Compound: BiRh2S2
Source: Alexandria via LeMat-Bulk
Functional: PBE
Structure: relaxed

Lattice parameters (Å, degrees): 6.427 3.773 9.045 90.00 108.46 90.00
Fractional coordinates of all 10 atoms:
Bi (0.003, 0.250, 0.341)
Bi (0.997, 0.750, 0.659)
Rh (0.148, 0.750, 0.163)
Rh (0.328, 0.750, 0.506)
Rh (0.672, 0.250, 0.494)
Rh (0.852, 0.250, 0.837)
S (0.208, 0.250, 0.021)
S (0.481, 0.250, 0.674)
S (0.519, 0.750, 0.326)
S (0.792, 0.750, 0.979)

Values from the calculation:
**Formation energy (no corrections)**: -128 kJ/mol of formula units
**Total magnetization**: 0.000 μB/f.u.
**Symmetry**: No. 11

5.
Compound: LiPm2HPb2
Source: Alexandria via LeMat-Bulk
Functional: PBE
Structure: relaxed

Lattice parameters (Å, degrees): 7.987 7.987 7.987 125.55 73.77 134.27
Fractional coordinates of all 12 atoms:
Li (0.250, 0.250, 0.000)
Li (0.750, 0.750, 0.000)
Pm (0.112, 0.661, 0.773)
Pm (0.388, 0.161, 0.549)
Pm (0.612, 0.839, 0.451)
Pm (0.888, 0.339, 0.227)
H (0.250, 0.750, 0.500)
H (0.750, 0.250, 0.500)
Pb (0.139, 0.190, 0.329)
Pb (0.361, 0.690, 0.051)
Pb (0.639, 0.310, 0.949)
Pb (0.861, 0.810, 0.671)

Values from the calculation:
**Total magnetization**: 0.000 μB/f.u.
**Symmetry**: No. 72

6.
Compound: K6Au3O
Source: Alexandria via LeMat-Bulk
Functional: PBE
Structure: relaxed

Lattice parameters (Å, degrees): 9.295 9.295 9.295 94.59 94.59 94.59
Fractional coordinates of all 20 atoms:
K (0.043, 0.722, 0.936)
K (0.064, 0.957, 0.278)
K (0.227, 0.425, 0.549)
K (0.278, 0.064, 0.957)
K (0.425, 0.549, 0.227)
K (0.451, 0.773, 0.575)
K (0.549, 0.227, 0.425)
K (0.575, 0.451, 0.773)
K (0.722, 0.936, 0.043)
K (0.773, 0.575, 0.451)
K (0.936, 0.043, 0.722)
K (0.957, 0.278, 0.064)
Au (0.076, 0.592, 0.271)
Au (0.271, 0.076, 0.592)
Au (0.408, 0.729, 0.924)
Au (0.592, 0.271, 0.076)
Au (0.729, 0.924, 0.408)
Au (0.924, 0.408, 0.729)
O (0.000, 0.000, 0.000)
O (0.500, 0.500, 0.500)

Values from the calculation:
**Formation energy (no corrections)**: -461 kJ/mol of formula units
**Total magnetization**: 0.000 μB/f.u.
**Symmetry**: No. 148

no.,DFT total energy (eV/atom)
1,-4.8915
2,-4.5528
3,-6.3296
4,-5.6340
5,-4.0685
6,-2.6157